The following is a DFT calculation (GGA-PBE) of crystalline RbBa2TmCl8 at its relaxed geometry.

Cell: 6.750 9.575 6.844 Å, 90.00 90.41 90.00°
Element x y z (fractional)
1 Rb 0.000 0.000 0.000
2 Ba 0.500 0.258 0.500
3 Ba 0.500 0.742 0.500
4 Tm 0.000 0.500 0.000
5 Cl 0.215 0.301 0.848
6 Cl 0.215 0.699 0.848
7 Cl 0.242 0.500 0.310
8 Cl 0.260 0.000 0.392
9 Cl 0.740 0.000 0.608
10 Cl 0.758 0.500 0.690
11 Cl 0.785 0.301 0.152
12 Cl 0.785 0.699 0.152

DOS(E_F) (states/eV/f.u.): 0.0
Raw total energy (eV for the cell shown): -52.0
Uncorrected formation energy (eV/atom): -2.3295